<one>
First-principles (PBE-GGA) data for a geometry-optimized LaPmDy structure, as listed in Alexandria via LeMat-Bulk.

a b c (Å): 3.646 3.646 8.936
angles (deg): 90.00 90.00 120.00
Fractional positions:
Dy  0.667  0.333  0.330
Pm  0.000  0.000  0.007
La  0.333  0.667  0.663

Calculated values
Size of the total moment: 0.00 μB/atom
Symmetry: No. 156
N(E_F): 4.32 states/eV/f.u.

<two>
First-principles (PBE-GGA) data for a geometry-optimized LaPmDy structure, as listed in Alexandria via LeMat-Bulk.

a b c (Å): 3.652 3.652 17.938
angles (deg): 84.16 84.16 60.00
Fractional positions:
Pm  0.177  0.177  0.468
Pm  0.011  0.011  0.966
La  0.568  0.568  0.295
La  0.401  0.401  0.796
Dy  0.291  0.291  0.127
Dy  0.790  0.790  0.629

Calculated values
Size of the total moment: 0.00 μB/atom
Symmetry: No. 160
N(E_F): 3.98 states/eV/f.u.

<three>
First-principles (PBE-GGA) data for a geometry-optimized LaPmDy structure, as listed in Alexandria via LeMat-Bulk.

a b c (Å): 3.662 3.662 8.127
angles (deg): 103.02 103.02 90.00
Fractional positions:
Pm  0.003  0.003  0.006
Dy  0.665  0.665  0.330
La  0.332  0.332  0.664

Calculated values
Size of the total moment: 0.00 μB/atom
Symmetry: No. 107
N(E_F): 4.94 states/eV/f.u.

Q: Which of them is the most stable? A: <two>.

<one>
First-principles (PBE-GGA) data for a geometry-optimized LaPm7Dy2 structure, as listed in Alexandria via LeMat-Bulk.

a b c (Å): 5.762 9.248 9.248
angles (deg): 122.27 90.00 90.00
Fractional positions:
Pm  0.500  0.062  0.296
Pm  0.500  0.296  0.062
Pm  0.000  0.772  0.228
Pm  0.500  0.704  0.938
Pm  0.500  0.938  0.704
Pm  0.500  0.500  0.500
Pm  0.000  0.228  0.772
Dy  0.500  0.703  0.297
Dy  0.500  0.297  0.703
La  0.000  0.000  0.000

Calculated values
Size of the total moment: 0.00 μB/atom
Symmetry: No. 65
N(E_F): 14.20 states/eV/f.u.

<two>
First-principles (PBE-GGA) data for a geometry-optimized LaPm7Dy2 structure, as listed in Alexandria via LeMat-Bulk.

a b c (Å): 5.577 7.840 9.428
angles (deg): 114.57 107.20 90.00
Fractional positions:
La  0.000  0.000  0.000
Pm  0.156  0.656  0.312
Pm  0.369  0.069  0.739
Pm  0.631  0.931  0.261
Pm  0.369  0.670  0.739
Pm  0.631  0.330  0.261
Pm  0.844  0.344  0.688
Pm  0.500  0.500  0.000
Dy  0.214  0.214  0.428
Dy  0.786  0.786  0.572

Calculated values
Size of the total moment: 0.00 μB/atom
Symmetry: No. 71
N(E_F): 14.37 states/eV/f.u.

Q: Which of them is the most stable? A: <two>.

<one>
First-principles (PBE-GGA) data for a geometry-optimized La2Pm8Dy structure, as listed in Alexandria via LeMat-Bulk.

a b c (Å): 5.182 8.184 9.678
angles (deg): 104.70 105.53 90.00
Fractional positions:
Pm  0.590  0.452  0.179
Pm  0.865  0.823  0.730
Pm  0.956  0.271  0.911
Pm  0.135  0.177  0.270
Pm  0.681  0.908  0.361
Pm  0.410  0.548  0.821
Pm  0.044  0.729  0.089
Pm  0.319  0.092  0.639
La  0.227  0.637  0.454
La  0.773  0.363  0.546
Dy  0.500  0.000  0.000

Calculated values
Size of the total moment: 0.00 μB/atom
Symmetry: No. 12
N(E_F): 18.17 states/eV/f.u.

<two>
First-principles (PBE-GGA) data for a geometry-optimized La2Pm8Dy structure, as listed in Alexandria via LeMat-Bulk.

a b c (Å): 5.753 10.321 10.321
angles (deg): 40.45 93.46 93.46
Fractional positions:
Pm  0.269  0.137  0.611
Pm  0.731  0.863  0.389
Pm  0.269  0.611  0.137
Pm  0.774  0.816  0.816
Pm  0.765  0.455  0.455
Pm  0.226  0.184  0.184
Pm  0.731  0.389  0.863
Pm  0.235  0.545  0.545
La  0.261  0.717  0.717
La  0.739  0.283  0.283
Dy  0.000  0.000  0.000

Calculated values
Size of the total moment: 0.00 μB/atom
Symmetry: No. 12
N(E_F): 16.78 states/eV/f.u.

Q: Which of them is the most stable? A: <one>.

<one>
First-principles (PBE-GGA) data for a geometry-optimized La3PmDy4 structure, as listed in Alexandria via LeMat-Bulk.

a b c (Å): 6.366 7.348 11.688
angles (deg): 90.00 90.00 90.00
Fractional positions:
Dy  0.150  0.878  0.500
Dy  0.980  0.120  0.249
Dy  0.980  0.120  0.751
Dy  0.650  0.122  0.000
Dy  0.648  0.121  0.500
Dy  0.148  0.879  0.000
Dy  0.480  0.880  0.749
Dy  0.480  0.880  0.251
Pm  0.649  0.631  0.500
Pm  0.149  0.369  0.000
La  0.979  0.626  0.750
La  0.979  0.626  0.250
La  0.479  0.374  0.250
La  0.149  0.372  0.500
La  0.479  0.374  0.750
La  0.649  0.628  0.000

Calculated values
Size of the total moment: 0.00 μB/atom
Symmetry: No. 31
N(E_F): 14.30 states/eV/f.u.

<two>
First-principles (PBE-GGA) data for a geometry-optimized La3PmDy4 structure, as listed in Alexandria via LeMat-Bulk.

a b c (Å): 3.499 9.056 9.056
angles (deg): 81.72 78.86 78.86
Fractional positions:
La  0.243  0.757  0.757
La  0.000  0.500  0.500
La  0.757  0.243  0.243
Dy  0.634  0.618  0.113
Dy  0.634  0.113  0.618
Dy  0.366  0.887  0.382
Dy  0.366  0.382  0.887
Pm  0.500  0.000  0.000

Calculated values
Size of the total moment: 0.00 μB/atom
Symmetry: No. 71
N(E_F): 13.86 states/eV/f.u.

Q: Which of them is the most stable? A: <one>.

<one>
First-principles (PBE-GGA) data for a geometry-optimized La2Pm8Dy3 structure, as listed in Alexandria via LeMat-Bulk.

a b c (Å): 5.671 7.708 11.230
angles (deg): 110.07 90.02 90.00
Fractional positions:
Pm  0.500  0.190  0.794
Pm  0.999  0.335  0.671
Pm  0.001  0.665  0.329
Pm  0.000  0.872  0.745
Pm  0.500  0.810  0.206
Pm  0.500  0.397  0.206
Pm  0.500  0.603  0.794
Pm  0.000  0.128  0.255
Dy  0.000  0.714  0.000
Dy  0.000  0.286  0.000
Dy  0.500  0.000  0.000
La  0.501  0.759  0.518
La  0.499  0.241  0.482

Calculated values
Size of the total moment: 0.00 μB/atom
Symmetry: No. 12
N(E_F): 21.42 states/eV/f.u.

<two>
First-principles (PBE-GGA) data for a geometry-optimized La2Pm8Dy3 structure, as listed in Alexandria via LeMat-Bulk.

a b c (Å): 6.198 11.917 8.896
angles (deg): 132.05 72.92 90.00
Fractional positions:
Pm  0.668  0.582  0.666
Pm  0.332  0.916  0.334
Pm  0.225  0.566  0.132
Pm  0.668  0.084  0.666
Pm  0.943  0.149  0.297
Pm  0.332  0.418  0.334
Pm  0.057  0.851  0.703
Pm  0.775  0.434  0.868
Dy  0.500  0.000  0.000
Dy  0.000  0.250  0.000
Dy  0.000  0.750  0.000
La  0.651  0.704  0.409
La  0.349  0.296  0.591

Calculated values
Size of the total moment: 0.00 μB/atom
Symmetry: No. 12
N(E_F): 21.78 states/eV/f.u.

Q: Which of them is the most stable? A: <two>.

<one>
First-principles (PBE-GGA) data for a geometry-optimized La3Pm4Dy2 structure, as listed in Alexandria via LeMat-Bulk.

a b c (Å): 3.666 8.202 10.948
angles (deg): 76.51 90.00 102.91
Fractional positions:
Dy  0.667  0.334  0.779
Dy  0.333  0.666  0.221
Pm  0.333  0.665  0.890
Pm  0.000  0.999  0.331
Pm  0.667  0.335  0.110
Pm  0.000  0.001  0.669
La  0.000  0.000  0.000
La  0.668  0.336  0.444
La  0.332  0.664  0.556

Calculated values
Size of the total moment: 0.00 μB/atom
Symmetry: No. 12
N(E_F): 13.62 states/eV/f.u.

<two>
First-principles (PBE-GGA) data for a geometry-optimized La3Pm4Dy2 structure, as listed in Alexandria via LeMat-Bulk.

a b c (Å): 3.644 3.644 27.386
angles (deg): 90.00 90.00 120.00
Fractional positions:
Pm  0.000  0.000  0.542
Pm  0.667  0.333  0.212
Pm  0.000  0.000  0.769
Pm  0.667  0.333  0.435
La  0.000  0.000  0.320
La  0.667  0.333  0.655
La  0.000  0.000  0.984
Dy  0.667  0.333  0.872
Dy  0.667  0.333  0.089

Calculated values
Size of the total moment: 0.00 μB/atom
Symmetry: No. 156
N(E_F): 15.17 states/eV/f.u.

Q: Which of them is the most stable? A: <one>.

<one>
First-principles (PBE-GGA) data for a geometry-optimized La2Pm6Dy3 structure, as listed in Alexandria via LeMat-Bulk.

a b c (Å): 5.688 5.688 13.096
angles (deg): 102.54 102.54 90.00
Fractional positions:
Pm  0.301  0.301  0.602
Pm  0.597  0.097  0.193
Pm  0.403  0.903  0.807
Pm  0.097  0.597  0.193
Pm  0.903  0.403  0.807
Pm  0.699  0.699  0.398
Dy  0.836  0.836  0.673
Dy  0.164  0.164  0.327
Dy  0.000  0.000  0.000
La  0.559  0.559  0.117
La  0.441  0.441  0.883

Calculated values
Size of the total moment: 0.00 μB/atom
Symmetry: No. 139
N(E_F): 14.15 states/eV/f.u.

<two>
First-principles (PBE-GGA) data for a geometry-optimized La2Pm6Dy3 structure, as listed in Alexandria via LeMat-Bulk.

a b c (Å): 6.225 6.232 11.938
angles (deg): 84.93 79.81 60.04
Fractional positions:
La  0.833  0.334  0.500
La  0.167  0.666  0.500
Pm  0.917  0.667  0.246
Pm  0.083  0.333  0.754
Pm  0.749  0.000  0.754
Pm  0.415  0.667  0.754
Pm  0.585  0.333  0.246
Pm  0.251  0.000  0.246
Dy  0.000  0.000  0.000
Dy  0.665  0.669  0.000
Dy  0.335  0.331  0.000

Calculated values
Size of the total moment: 0.00 μB/atom
Symmetry: No. 12
N(E_F): 17.19 states/eV/f.u.

Q: Which of them is the most stable? A: <two>.

<one>
First-principles (PBE-GGA) data for a geometry-optimized LaPm2Dy4 structure, as listed in Alexandria via LeMat-Bulk.

a b c (Å): 8.165 7.801 7.802
angles (deg): 90.00 90.05 90.10
Fractional positions:
Dy  0.279  0.753  0.748
Dy  0.721  0.751  0.747
Dy  0.279  0.752  0.252
Dy  0.721  0.247  0.252
Dy  0.721  0.248  0.748
Dy  0.721  0.752  0.252
Dy  0.279  0.249  0.253
Dy  0.279  0.248  0.748
Pm  0.000  0.000  0.500
Pm  0.000  0.500  0.500
Pm  0.000  0.000  0.000
Pm  0.500  0.000  0.500
La  0.500  0.500  0.000
La  0.000  0.500  0.000

Calculated values
Size of the total moment: 0.09 μB/atom
Symmetry: No. 12
N(E_F): 12.67 states/eV/f.u.

<two>
First-principles (PBE-GGA) data for a geometry-optimized LaPm2Dy4 structure, as listed in Alexandria via LeMat-Bulk.

a b c (Å): 4.591 4.591 11.872
angles (deg): 101.15 101.15 90.00
Fractional positions:
La  0.000  0.000  0.000
Dy  0.141  0.141  0.282
Dy  0.250  0.750  0.500
Dy  0.859  0.859  0.718
Dy  0.750  0.250  0.500
Pm  0.398  0.398  0.796
Pm  0.602  0.602  0.204

Calculated values
Size of the total moment: 0.00 μB/atom
Symmetry: No. 139
N(E_F): 11.03 states/eV/f.u.

Q: Which of them is the most stable? A: <two>.

<one>
First-principles (PBE-GGA) data for a geometry-optimized LaPm4Dy6 structure, as listed in Alexandria via LeMat-Bulk.

a b c (Å): 9.756 9.756 9.756
angles (deg): 57.86 140.00 140.00
Fractional positions:
Pm  0.619  0.986  0.986
Pm  0.000  0.633  0.014
Pm  0.381  0.367  0.367
Pm  0.000  0.014  0.633
Dy  0.000  0.805  0.447
Dy  0.358  0.553  0.553
Dy  0.500  0.500  0.000
Dy  0.642  0.195  0.195
Dy  0.000  0.447  0.805
Dy  0.500  0.000  0.500
La  0.000  0.000  0.000

Calculated values
Size of the total moment: 0.00 μB/atom
Symmetry: No. 121
N(E_F): 15.94 states/eV/f.u.

<two>
First-principles (PBE-GGA) data for a geometry-optimized LaPm4Dy6 structure, as listed in Alexandria via LeMat-Bulk.

a b c (Å): 3.555 11.057 11.057
angles (deg): 120.00 90.00 90.00
Fractional positions:
Dy  0.000  0.497  0.993
Dy  0.500  0.171  0.343
Dy  0.000  0.497  0.503
Dy  0.500  0.657  0.829
Dy  0.500  0.171  0.829
Dy  0.000  0.007  0.503
Pm  0.000  0.333  0.667
Pm  0.500  0.802  0.198
Pm  0.500  0.802  0.604
Pm  0.500  0.396  0.198
La  0.000  0.000  0.000

Calculated values
Size of the total moment: 0.00 μB/atom
Symmetry: No. 187
N(E_F): 16.26 states/eV/f.u.

Q: Which of them is the most stable? A: <two>.

<one>
First-principles (PBE-GGA) data for a geometry-optimized La7PmDy3 structure, as listed in Alexandria via LeMat-Bulk.

a b c (Å): 6.505 7.866 7.871
angles (deg): 82.25 94.76 94.72
Fractional positions:
La  0.265  0.575  0.935
La  0.735  0.065  0.425
La  0.788  0.764  0.764
La  0.212  0.236  0.236
La  0.265  0.935  0.575
La  0.000  0.500  0.500
La  0.735  0.425  0.065
Dy  0.500  0.000  0.000
Dy  0.000  0.833  0.167
Dy  0.000  0.167  0.833
Pm  0.500  0.500  0.500

Calculated values
Size of the total moment: 0.00 μB/atom
Symmetry: No. 12
N(E_F): 16.62 states/eV/f.u.

<two>
First-principles (PBE-GGA) data for a geometry-optimized La7PmDy3 structure, as listed in Alexandria via LeMat-Bulk.

a b c (Å): 8.674 7.313 7.313
angles (deg): 120.00 90.00 90.00
Fractional positions:
La  0.101  0.165  0.835
La  0.465  0.329  0.165
La  0.465  0.835  0.671
La  0.132  0.667  0.333
La  0.465  0.835  0.165
La  0.101  0.671  0.835
La  0.101  0.165  0.329
Dy  0.783  0.001  0.500
Dy  0.783  0.500  0.500
Dy  0.783  0.500  0.999
Pm  0.439  0.333  0.667

Calculated values
Size of the total moment: 0.00 μB/atom
Symmetry: No. 156
N(E_F): 16.65 states/eV/f.u.

Q: Which of them is the most stable? A: <two>.